This record from the Alexandria database describes a crystal of TmCO4 relaxed with PBEsol. The functional is SCAN.

```
data_TmCO4
_symmetry_space_group_name_H-M 'P 42/n m c'
_symmetry_Int_Tables_number 137
_cell_length_a 9.301
_cell_length_b 9.301
_cell_length_c 7.770
_cell_angle_alpha 90.00
_cell_angle_beta 90.00
_cell_angle_gamma 90.00
loop_
_symmetry_equiv_pos_as_xyz
'x,y,z'
'-x,-y,-z'
'-y+1/2,x,z+1/2'
'y+1/2,-x,-z+1/2'
'-x+1/2,-y+1/2,z'
'x+1/2,y+1/2,-z'
'y,-x+1/2,z+1/2'
'-y,x+1/2,-z+1/2'
'x+1/2,-y,-z'
'-x+1/2,y,z'
'-y,-x,-z+1/2'
'y,x,z+1/2'
'-x,y+1/2,-z'
'x,-y+1/2,z'
'y+1/2,x+1/2,-z+1/2'
'-y+1/2,-x+1/2,z+1/2'
loop_
_atom_site_label
_atom_site_type_symbol
_atom_site_fract_x
_atom_site_fract_y
_atom_site_fract_z
Tm1 Tm 0.018 0.518 0.250
C1 C 0.006 0.750 0.590
O1 O 0.000 0.250 0.245
O2 O 0.003 0.250 0.790
O3 O 0.009 0.629 0.511
```

Computed properties:
Uncorrected formation energy in eV per atom: -2.2962
Volume in Å³/f.u.: 84.0
VASP energy in eV/atom: -16.77
Offset from the most stable computed form in eV/f.u.: 0.000

This record from the Alexandria database describes a crystal of LaCoOs relaxed with PBEsol. The functional is SCAN.

```
data_LaCoOs
_symmetry_space_group_name_H-M 'P -6 m 2'
_symmetry_Int_Tables_number 187
_symmetry_space_group_name_Hall 'P -6 2'
_cell_length_a 4.0107
_cell_length_b 4.0107
_cell_length_c 4.3293
_cell_angle_alpha 90.00
_cell_angle_beta 90.00
_cell_angle_gamma 120.00
loop_
_atom_site_label
_atom_site_type_symbol
_atom_site_fract_x
_atom_site_fract_y
_atom_site_fract_z
La1 La 0.0000 0.0000 0.0000
Co1 Co 0.6667 0.3333 0.5000
Os1 Os 0.3333 0.6667 0.5000
```

Computed properties:
DFT formation energy in eV per atom: -0.020
Volume in Å³/f.u.: 60.3
VASP energy in eV/atom: -44.12
Offset from the most stable computed form in eV/f.u.: 0.000

This record from the Alexandria database describes a crystal of Mn3IrBr relaxed with PBEsol. The functional is SCAN.

```
data_Mn3IrBr
_symmetry_space_group_name_H-M 'P m -3 m'
_symmetry_Int_Tables_number 221
_symmetry_space_group_name_Hall '-P 4 2 3'
_cell_length_a 4.353
_cell_length_b 4.353
_cell_length_c 4.353
_cell_angle_alpha 90.00
_cell_angle_beta 90.00
_cell_angle_gamma 90.00
loop_
_atom_site_label
_atom_site_type_symbol
_atom_site_fract_x
_atom_site_fract_y
_atom_site_fract_z
Mn1 Mn 0.000 0.000 0.500
Ir1 Ir 0.500 0.500 0.500
Br1 Br 0.000 0.000 0.000
```

Computed properties:
Uncorrected formation energy in eV per atom: 1.0249
Volume in Å³/f.u.: 82.5
VASP energy in eV/atom: -28.04